Density functional theory data (GGA-PBEsol) for a geometry-optimized PrBr3 structure.

The space group is P6_3/m (No. 176) and the conventional cell measures 7.8991, 7.8991 and 4.3719 Å, with angles of 90.00, 90.00 and 120.00 degrees. Symmetry generates all atoms from Pr at (0.3333, 0.6667, 0.2500) and Br at (0.0859, 0.7005, 0.7500).

The crystal system is hexagonal. The calculation puts the total energy at -4.6160 eV per atom. As for the energy relative to the elements, uncorrected: -1.92 eV/atom.

Density functional theory data (GGA-PBEsol) for a geometry-optimized Ir3Os structure.

The space group is Pm-3m (No. 221) and the conventional cell measures 3.826, 3.826 and 3.826 Å, with angles of 90.00, 90.00 and 90.00 degrees. Symmetry generates all atoms from Ir at (0.000, 0.000, 0.500) and Os at (0.500, 0.500, 0.500).

The crystal system is cubic. The calculation puts the total energy at -10.3893 eV per atom. The value obtained for the energy relative to the elements is 0.13 eV/f.u.

Density functional theory data (GGA-PBEsol) for a geometry-optimized TeAsAuS2 structure.

The space group is P4/mmm (No. 123) and the conventional cell measures 4.488, 4.488 and 5.714 Å, with angles of 90.00, 90.00 and 90.00 degrees. Symmetry generates all atoms from Te at (0.000, 0.000, 0.000), As at (0.000, 0.000, 0.500), Au at (0.500, 0.500, 0.000) and S at (0.000, 0.500, 0.500).

The crystal system is tetragonal. The calculation puts the total energy at -3.6093 eV per atom. As for the energy relative to the elements, uncorrected: 0.66 eV/atom.

Density functional theory data (GGA-PBEsol) for a geometry-optimized Zr2FeRe structure.

The space group is P4/mmm (No. 123) and the conventional cell measures 3.201, 3.201 and 6.397 Å, with angles of 90.00, 90.00 and 90.00 degrees. Symmetry generates all atoms from Zr at (0.000, 0.000, 0.243), Fe at (0.500, 0.500, 0.000) and Re at (0.500, 0.500, 0.500).

The crystal system is tetragonal. Its distance to the lowest polymorph of the same formula is 0 meV/atom. The calculation puts the total energy at -10.3248 eV per atom. The value obtained for the energy relative to the elements is -0.82 eV/f.u.

Density functional theory data (GGA-PBEsol) for a geometry-optimized PtCO2F structure.

The space group is P4/mmm (No. 123) and the conventional cell measures 3.829, 3.829 and 4.157 Å, with angles of 90.00, 90.00 and 90.00 degrees. Symmetry generates all atoms from Pt at (0.000, 0.000, 0.000), C at (0.500, 0.500, 0.500), O at (0.000, 0.500, 0.000) and F at (0.000, 0.000, 0.500).

The crystal system is tetragonal. The calculation puts the total energy at -4.5958 eV per atom. As for the energy relative to the elements, uncorrected: 1.21 eV/atom.

Density functional theory data (GGA-PBEsol) for a geometry-optimized BaTlRu3 structure.

The space group is Pm-3m (No. 221) and the conventional cell measures 5.030, 5.030 and 5.030 Å, with angles of 90.00, 90.00 and 90.00 degrees. Symmetry generates all atoms from Ba at (0.000, 0.000, 0.000), Tl at (0.500, 0.500, 0.500) and Ru at (0.000, 0.500, 0.500).

The crystal system is cubic. The calculation puts the total energy at -5.2910 eV per atom. The value obtained for the energy relative to the elements is 8.84 eV/f.u.

Density functional theory data (GGA-PBEsol) for a geometry-optimized KNpAgS3 structure.

The space group is Cmcm (No. 63) and the conventional cell measures 4.013, 13.812 and 10.200 Å, with angles of 90.00, 90.00 and 90.00 degrees. Symmetry generates all atoms from K at (0.000, 0.240, 0.250), Np at (0.000, 0.500, 0.000), Ag at (0.000, 0.047, 0.750), S at (0.000, 0.126, 0.537) and S at (0.000, 0.438, 0.750).

The crystal system is orthorhombic. The calculation puts the total energy at -6.2577 eV per atom. As for the energy relative to the elements, uncorrected: -1.02 eV/atom.

Density functional theory data (GGA-PBEsol) for a geometry-optimized LiNiCl4 structure.

The space group is F-43m (No. 216) and the conventional cell measures 8.131, 8.131 and 8.131 Å, with angles of 90.00, 90.00 and 90.00 degrees. Symmetry generates all atoms from Li at (0.000, 0.000, 0.000), Ni at (0.250, 0.250, 0.750) and Cl at (0.125, 0.125, 0.375).

The crystal system is cubic. The calculation puts the total energy at -2.1638 eV per atom. As for the energy relative to the elements, uncorrected: 0.53 eV/atom.